Computed, not measured: Ho2AgRh after structural relaxation at the PBE level of DFT.

As for the spin magnetization: 0.0 μB per cell. The total DFT energy (no corrections) is -21.80 eV/cell.

```
data_Ho2AgRh
_symmetry_space_group_name_H-M 'P 1'
_symmetry_Int_Tables_number 1
_cell_length_a 3.493
_cell_length_b 3.493
_cell_length_c 7.145
_cell_angle_alpha 90.00
_cell_angle_beta 90.00
_cell_angle_gamma 90.00
loop_
_symmetry_equiv_pos_as_xyz
'x,y,z'
loop_
_atom_site_label
_atom_site_type_symbol
_atom_site_fract_x
_atom_site_fract_y
_atom_site_fract_z
Ho1 Ho 0.000 0.000 0.229
Ho2 Ho 0.000 0.000 0.771
Ag1 Ag 0.500 0.500 0.500
Rh1 Rh 0.500 0.500 0.000
```

Computed, not measured: UTlICl4 after structural relaxation at the PBE level of DFT.

Its uncorrected formation energy is -1.377 eV per atom. As for the spin magnetization: 4.0 μB per cell. The total DFT energy (no corrections) is -64.46 eV/cell.

```
data_UTlICl4
_symmetry_space_group_name_H-M 'P 1'
_symmetry_Int_Tables_number 1
_cell_length_a 8.532
_cell_length_b 8.532
_cell_length_c 9.219
_cell_angle_alpha 99.89
_cell_angle_beta 99.89
_cell_angle_gamma 84.89
loop_
_symmetry_equiv_pos_as_xyz
'x,y,z'
loop_
_atom_site_label
_atom_site_type_symbol
_atom_site_fract_x
_atom_site_fract_y
_atom_site_fract_z
U1 U 0.137 0.137 0.181
U2 U 0.863 0.863 0.819
Tl1 Tl 0.337 0.337 0.784
Tl2 Tl 0.663 0.663 0.216
I1 I 0.377 0.377 0.172
I2 I 0.623 0.623 0.828
Cl1 Cl 0.085 0.085 0.873
Cl2 Cl 0.087 0.642 0.825
Cl3 Cl 0.163 0.163 0.464
Cl4 Cl 0.358 0.913 0.175
Cl5 Cl 0.642 0.087 0.825
Cl6 Cl 0.837 0.837 0.536
Cl7 Cl 0.913 0.358 0.175
Cl8 Cl 0.915 0.915 0.127
```

Computed, not measured: Pr3HoPt2 after structural relaxation at the PBE level of DFT.

As for the spin magnetization: 0.0 μB per cell. The total DFT energy (no corrections) is -70.77 eV/cell.

```
data_Pr3HoPt2
_symmetry_space_group_name_H-M 'P 1'
_symmetry_Int_Tables_number 1
_cell_length_a 15.707
_cell_length_b 4.772
_cell_length_c 4.709
_cell_angle_alpha 90.00
_cell_angle_beta 107.40
_cell_angle_gamma 90.00
loop_
_symmetry_equiv_pos_as_xyz
'x,y,z'
loop_
_atom_site_label
_atom_site_type_symbol
_atom_site_fract_x
_atom_site_fract_y
_atom_site_fract_z
Pr1 Pr 0.000 0.000 0.000
Pr2 Pr 0.187 0.000 0.686
Pr3 Pr 0.313 0.500 0.314
Pr4 Pr 0.500 0.500 0.000
Pr5 Pr 0.687 0.500 0.686
Pr6 Pr 0.813 0.000 0.314
Ho1 Ho 0.000 0.500 0.500
Ho2 Ho 0.500 0.000 0.500
Pt1 Pt 0.125 0.500 0.125
Pt2 Pt 0.375 0.000 0.875
Pt3 Pt 0.625 0.000 0.125
Pt4 Pt 0.875 0.500 0.875
```

Computed, not measured: InRu3 after structural relaxation at the PBE level of DFT.

As for the spin magnetization: 0.0 μB per cell. The total DFT energy (no corrections) is -85.75 eV/cell.

```
data_InRu3
_symmetry_space_group_name_H-M 'P 1'
_symmetry_Int_Tables_number 1
_cell_length_a 8.759
_cell_length_b 8.759
_cell_length_c 2.820
_cell_angle_alpha 90.00
_cell_angle_beta 90.00
_cell_angle_gamma 120.00
loop_
_symmetry_equiv_pos_as_xyz
'x,y,z'
loop_
_atom_site_label
_atom_site_type_symbol
_atom_site_fract_x
_atom_site_fract_y
_atom_site_fract_z
In1 In 0.000 0.000 0.000
In2 In 0.333 0.667 0.667
In3 In 0.667 0.333 0.333
Ru1 Ru 0.000 0.500 0.000
Ru2 Ru 0.167 0.333 0.333
Ru3 Ru 0.167 0.833 0.333
Ru4 Ru 0.333 0.167 0.667
Ru5 Ru 0.500 0.000 0.000
Ru6 Ru 0.500 0.500 0.000
Ru7 Ru 0.667 0.833 0.333
Ru8 Ru 0.833 0.167 0.667
Ru9 Ru 0.833 0.667 0.667
```

Computed, not measured: Pr4Hg after structural relaxation at the PBE level of DFT.

As for the spin magnetization: 0.0 μB per cell. The total DFT energy (no corrections) is -18.29 eV/cell.

```
data_Pr4Hg
_symmetry_space_group_name_H-M 'P 1'
_symmetry_Int_Tables_number 1
_cell_length_a 5.906
_cell_length_b 5.906
_cell_length_c 5.906
_cell_angle_alpha 90.00
_cell_angle_beta 90.00
_cell_angle_gamma 90.00
loop_
_symmetry_equiv_pos_as_xyz
'x,y,z'
loop_
_atom_site_label
_atom_site_type_symbol
_atom_site_fract_x
_atom_site_fract_y
_atom_site_fract_z
Pr1 Pr 0.000 0.000 0.000
Pr2 Pr 0.000 0.500 0.500
Pr3 Pr 0.500 0.000 0.500
Pr4 Pr 0.500 0.500 0.000
Hg1 Hg 0.500 0.500 0.500
```

Computed, not measured: Sn2Bi2Pd5 after structural relaxation at the PBE level of DFT.

As for the spin magnetization: 0.0 μB per cell. The total DFT energy (no corrections) is -88.86 eV/cell.

```
data_Sn2Bi2Pd5
_symmetry_space_group_name_H-M 'P 1'
_symmetry_Int_Tables_number 1
_cell_length_a 7.935
_cell_length_b 7.935
_cell_length_c 7.371
_cell_angle_alpha 90.00
_cell_angle_beta 90.00
_cell_angle_gamma 53.77
loop_
_symmetry_equiv_pos_as_xyz
'x,y,z'
loop_
_atom_site_label
_atom_site_type_symbol
_atom_site_fract_x
_atom_site_fract_y
_atom_site_fract_z
Sn1 Sn 0.152 0.848 0.849
Sn2 Sn 0.348 0.652 0.349
Sn3 Sn 0.652 0.348 0.651
Sn4 Sn 0.848 0.152 0.151
Bi1 Bi 0.207 0.207 0.500
Bi2 Bi 0.293 0.293 0.000
Bi3 Bi 0.707 0.707 0.000
Bi4 Bi 0.793 0.793 0.500
Pd1 Pd 0.000 0.000 0.500
Pd2 Pd 0.027 0.731 0.148
Pd3 Pd 0.231 0.527 0.648
Pd4 Pd 0.269 0.973 0.148
Pd5 Pd 0.473 0.769 0.648
Pd6 Pd 0.500 0.500 0.000
Pd7 Pd 0.527 0.231 0.352
Pd8 Pd 0.731 0.027 0.852
Pd9 Pd 0.769 0.473 0.352
Pd10 Pd 0.973 0.269 0.852
```

Computed, not measured: Ac2PmScO6 after structural relaxation at the PBE level of DFT.

Its uncorrected formation energy is -3.391 eV per atom. As for the spin magnetization: 0.0 μB per cell. The total DFT energy (no corrections) is -165.91 eV/cell.

```
data_Ac2PmScO6
_symmetry_space_group_name_H-M 'P 1'
_symmetry_Int_Tables_number 1
_cell_length_a 5.982
_cell_length_b 6.150
_cell_length_c 10.423
_cell_angle_alpha 90.00
_cell_angle_beta 124.56
_cell_angle_gamma 90.00
loop_
_symmetry_equiv_pos_as_xyz
'x,y,z'
loop_
_atom_site_label
_atom_site_type_symbol
_atom_site_fract_x
_atom_site_fract_y
_atom_site_fract_z
Ac1 Ac 0.236 0.047 0.251
Ac2 Ac 0.236 0.453 0.751
Ac3 Ac 0.764 0.547 0.249
Ac4 Ac 0.764 0.953 0.749
Pm1 Pm 0.500 0.000 0.000
Pm2 Pm 0.500 0.500 0.500
Sc1 Sc 0.000 0.000 0.500
Sc2 Sc 0.000 0.500 0.000
O1 O 0.126 0.212 0.938
O2 O 0.126 0.288 0.438
O3 O 0.229 0.691 0.942
O4 O 0.229 0.809 0.442
O5 O 0.349 0.046 0.738
O6 O 0.349 0.454 0.238
O7 O 0.651 0.546 0.762
O8 O 0.651 0.954 0.262
O9 O 0.771 0.191 0.558
O10 O 0.771 0.309 0.058
O11 O 0.874 0.712 0.562
O12 O 0.874 0.788 0.062
```

Computed, not measured: Sr2DyAl3Ga12 after structural relaxation at the PBE level of DFT.

As for the spin magnetization: 0.0 μB per cell. The total DFT energy (no corrections) is -57.27 eV/cell.

```
data_Sr2DyAl3Ga12
_symmetry_space_group_name_H-M 'P 1'
_symmetry_Int_Tables_number 1
_cell_length_a 10.836
_cell_length_b 10.836
_cell_length_c 10.836
_cell_angle_alpha 36.83
_cell_angle_beta 36.83
_cell_angle_gamma 36.83
loop_
_symmetry_equiv_pos_as_xyz
'x,y,z'
loop_
_atom_site_label
_atom_site_type_symbol
_atom_site_fract_x
_atom_site_fract_y
_atom_site_fract_z
Sr1 Sr 0.139 0.139 0.139
Sr2 Sr 0.861 0.861 0.861
Dy1 Dy 0.500 0.500 0.500
Al1 Al 0.000 0.500 0.500
Al2 Al 0.500 0.000 0.500
Al3 Al 0.500 0.500 0.000
Ga1 Ga 0.050 0.625 0.625
Ga2 Ga 0.089 0.089 0.689
Ga3 Ga 0.089 0.689 0.089
Ga4 Ga 0.311 0.911 0.911
Ga5 Ga 0.375 0.375 0.950
Ga6 Ga 0.375 0.950 0.375
Ga7 Ga 0.625 0.050 0.625
Ga8 Ga 0.625 0.625 0.050
Ga9 Ga 0.689 0.089 0.089
Ga10 Ga 0.911 0.311 0.911
Ga11 Ga 0.911 0.911 0.311
Ga12 Ga 0.950 0.375 0.375
```

Computed, not measured: NaLa4Tl5 after structural relaxation at the PBE level of DFT.

As for the spin magnetization: 0.0 μB per cell. The total DFT energy (no corrections) is -36.53 eV/cell.

```
data_NaLa4Tl5
_symmetry_space_group_name_H-M 'P 1'
_symmetry_Int_Tables_number 1
_cell_length_a 3.782
_cell_length_b 3.782
_cell_length_c 21.280
_cell_angle_alpha 90.00
_cell_angle_beta 90.00
_cell_angle_gamma 90.00
loop_
_symmetry_equiv_pos_as_xyz
'x,y,z'
loop_
_atom_site_label
_atom_site_type_symbol
_atom_site_fract_x
_atom_site_fract_y
_atom_site_fract_z
Na1 Na 0.000 0.000 0.000
La1 La 0.000 0.000 0.189
La2 La 0.000 0.000 0.396
La3 La 0.000 0.000 0.604
La4 La 0.000 0.000 0.811
Tl1 Tl 0.500 0.500 0.088
Tl2 Tl 0.500 0.500 0.293
Tl3 Tl 0.500 0.500 0.500
Tl4 Tl 0.500 0.500 0.707
Tl5 Tl 0.500 0.500 0.912
```

Computed, not measured: BaCaI after structural relaxation at the PBE level of DFT.

Its uncorrected formation energy is -0.744 eV per atom. As for the spin magnetization: 2.0 μB per cell. The total DFT energy (no corrections) is -23.12 eV/cell.

```
data_BaCaI
_symmetry_space_group_name_H-M 'P 1'
_symmetry_Int_Tables_number 1
_cell_length_a 4.304
_cell_length_b 4.304
_cell_length_c 25.113
_cell_angle_alpha 90.00
_cell_angle_beta 90.00
_cell_angle_gamma 120.00
loop_
_symmetry_equiv_pos_as_xyz
'x,y,z'
loop_
_atom_site_label
_atom_site_type_symbol
_atom_site_fract_x
_atom_site_fract_y
_atom_site_fract_z
Ba1 Ba 0.000 0.000 0.000
Ba2 Ba 0.333 0.667 0.667
Ba3 Ba 0.667 0.333 0.333
Ca1 Ca 0.000 0.000 0.798
Ca2 Ca 0.333 0.667 0.465
Ca3 Ca 0.667 0.333 0.132
I1 I 0.000 0.000 0.225
I2 I 0.333 0.667 0.891
I3 I 0.667 0.333 0.558
```